1.
First-principles (GGA-PBE) data for crystalline Ca3Ga2Sn4 at its relaxed geometry, as listed in Alexandria.

## Properties
* energy relative to the lowest polymorph listed for this composition: 19 meV per atom
* SG: No. 2
* size of the total moment: 0.0 μB/f.u.
* formation enthalpy at 0 K: -0.429 eV per atom

Structure (POSCAR):
```
Ca3Ga2Sn4
1.0
4.511 0.000 0.000
0.001 7.128 0.000
2.255 2.907 7.708
Ca Ga Sn
3 2 4
Cartesian
0.000 0.000 0.000
2.256 6.559 5.596
4.511 3.475 2.112
2.253 1.141 2.420
4.514 8.893 5.288
2.255 3.242 4.512
2.260 4.964 0.224
4.508 5.071 7.484
4.512 6.793 3.195
```

2.
First-principles (GGA-PBE) data for crystalline Pr3PbBr at its relaxed geometry, as listed in Alexandria.

## Properties
* SG: No. 14
* raw formation energy: -0.616 eV/atom
* size of the total moment: 0.0 μB/f.u.

Structure (POSCAR):
```
Pr3PbBr
1.0
9.364 0.000 0.000
0.000 6.664 0.000
-4.106 0.000 10.494
Pr Pb Br
12 4 4
Cartesian
-0.849 0.664 3.123
-2.902 2.668 8.370
-0.381 3.969 5.559
1.671 6.027 0.312
0.467 1.393 8.930
2.520 1.938 3.683
2.738 4.725 6.811
4.791 5.270 1.564
3.587 0.637 10.182
5.640 2.695 4.935
8.160 3.995 2.124
6.107 6.000 7.371
-0.153 4.706 8.794
1.900 5.290 3.547
3.358 1.374 6.947
5.411 1.958 1.700
-1.178 1.196 6.173
0.874 2.136 0.926
4.384 4.528 9.568
6.437 5.468 4.321
```

3.
First-principles (GGA-PBE) data for crystalline Pa2ZnBi at its relaxed geometry, as listed in Alexandria.

## Properties
* energy relative to the lowest polymorph listed for this composition: 199 meV per atom
* SG: No. 166
* size of the total moment: 0.0 μB/f.u.
* formation enthalpy at 0 K: 0.238 eV per atom

Structure (POSCAR):
```
Pa2ZnBi
1.0
4.299 0.000 0.000
-2.149 3.723 0.000
0.000 0.000 21.024
Pa Zn Bi
6 3 3
Cartesian
0.000 0.000 4.989
0.000 0.000 16.035
0.000 2.482 9.027
0.000 2.482 19.004
2.149 1.241 2.019
2.149 1.241 11.996
0.000 0.000 10.512
0.000 2.482 3.504
2.149 1.241 17.520
0.000 0.000 0.000
0.000 2.482 14.016
2.149 1.241 7.008
```

4.
First-principles (GGA-PBE) data for crystalline ScMoS2N at its relaxed geometry, as listed in Alexandria.

## Properties
* energy relative to the lowest polymorph listed for this composition: 840 meV per atom
* SG: No. 123
* raw formation energy: 0.413 eV/atom
* size of the total moment: 2.0 μB/f.u.

Structure (POSCAR):
```
ScMoS2N
1.0
4.905 0.000 0.000
0.000 4.905 0.000
0.000 0.000 4.048
Sc Mo S N
1 1 2 1
Cartesian
0.000 0.000 0.000
2.453 2.453 2.024
0.000 2.453 0.000
2.453 0.000 0.000
0.000 0.000 2.024
```

5.
First-principles (GGA-PBE) data for crystalline AcZrSiO6 at its relaxed geometry, as listed in Alexandria.

## Properties
* SG: No. 149
* raw formation energy: -2.825 eV/atom
* size of the total moment: 1.0 μB/f.u.

Structure (POSCAR):
```
AcZrSiO6
1.0
5.256 0.000 0.000
-2.628 4.552 0.000
0.000 0.000 5.274
Ac Zr Si O
1 1 1 6
Cartesian
0.000 0.000 0.000
0.000 3.035 2.637
2.628 1.517 2.637
1.980 0.191 3.688
1.155 1.619 1.585
3.277 0.191 1.585
1.804 2.742 3.688
4.101 1.619 3.688
3.452 2.742 1.585
```

6.
First-principles (GGA-PBE) data for crystalline Na3PN3 at its relaxed geometry, as listed in Alexandria.

## Properties
* SG: No. 160
* raw formation energy: -0.223 eV/atom
* size of the total moment: 1.0 μB/f.u.

Structure (POSCAR):
```
Na3PN3
1.0
5.063 2.923 1.294
-5.063 2.923 1.294
0.000 -5.846 1.294
Na P N
3 1 3
Cartesian
-2.490 -1.438 1.294
2.490 -1.438 1.294
0.000 2.876 1.294
0.000 0.000 0.637
0.000 -1.581 0.665
-1.369 0.790 0.665
1.369 0.790 0.665
```

7.
First-principles (GGA-PBE) data for crystalline YSNCl2 at its relaxed geometry, as listed in Alexandria.

## Properties
* energy relative to the lowest polymorph listed for this composition: 153 meV per atom
* SG: No. 123
* raw formation energy: -0.014 eV/atom
* size of the total moment: 0.4 μB/f.u.

Structure (POSCAR):
```
YSNCl2
1.0
4.440 0.000 0.000
0.000 4.440 0.000
0.000 0.000 4.405
Y S N Cl
1 1 1 2
Cartesian
0.000 0.000 0.000
2.220 2.220 0.000
2.220 2.220 2.203
0.000 2.220 2.203
2.220 0.000 2.203
```

8.
First-principles (GGA-PBE) data for crystalline Ce5HoHg6 at its relaxed geometry, as listed in Alexandria.

## Properties
* SG: No. 12
* size of the total moment: 6.9 μB/f.u.
* formation enthalpy at 0 K: -0.322 eV per atom

Structure (POSCAR):
```
Ce5HoHg6
1.0
8.341 -3.930 0.000
8.341 3.930 0.000
-1.665 0.000 5.016
Ce Ho Hg
5 1 6
Cartesian
0.000 0.000 0.000
1.533 0.000 3.298
4.773 0.000 1.597
10.244 0.000 3.419
13.484 0.000 1.718
8.341 0.000 0.000
4.260 1.832 4.211
7.509 1.731 2.508
10.757 1.832 0.805
4.260 -1.832 4.211
7.509 -1.731 2.508
10.757 -1.832 0.805
```

9.
First-principles (GGA-PBE) data for crystalline Pm2DyHo4 at its relaxed geometry, as listed in Alexandria.

## Properties
* energy relative to the lowest polymorph listed for this composition: 0 meV per atom
* SG: No. 2
* size of the total moment: 0.0 μB/f.u.
* formation enthalpy at 0 K: 0.012 eV per atom

Structure (POSCAR):
```
Pm2DyHo4
1.0
6.288 0.000 0.000
-0.003 6.743 0.000
-3.131 -0.100 10.702
Pm Dy Ho
4 2 8
Cartesian
0.530 1.685 0.007
0.526 4.545 6.119
2.627 2.097 4.584
2.623 4.958 10.696
2.625 4.093 1.539
0.528 2.550 9.163
-0.517 3.105 3.064
-0.529 1.154 6.121
0.516 6.473 3.063
-0.522 5.927 9.173
3.675 0.715 1.529
2.638 0.170 7.639
3.683 5.489 4.581
3.671 3.537 7.638
```

10.
First-principles (GGA-PBE) data for crystalline Ca2MgCdNi at its relaxed geometry, as listed in Alexandria.

## Properties
* energy relative to the lowest polymorph listed for this composition: 0 meV per atom
* SG: No. 123
* size of the total moment: 0.0 μB/f.u.
* formation enthalpy at 0 K: -0.080 eV per atom

Structure (POSCAR):
```
Ca2MgCdNi
1.0
5.340 0.000 0.000
0.000 5.340 0.000
0.000 0.000 4.934
Ca Mg Cd Ni
2 1 1 1
Cartesian
0.000 2.670 0.000
2.670 0.000 0.000
0.000 0.000 2.467
2.670 2.670 2.467
0.000 0.000 0.000
```

11.
First-principles (GGA-PBE) data for crystalline CsEu3 at its relaxed geometry, as listed in Alexandria.

## Properties
* SG: No. 225
* size of the total moment: 7.6 μB/f.u.
* formation enthalpy at 0 K: 0.308 eV per atom

Structure (POSCAR):
```
CsEu3
1.0
9.546 0.000 0.000
0.000 9.546 0.000
0.000 0.000 9.546
Cs Eu
4 12
Cartesian
0.000 0.000 0.000
0.000 4.773 4.773
4.773 0.000 4.773
4.773 4.773 0.000
0.000 0.000 4.773
0.000 4.773 0.000
2.387 2.387 2.387
2.387 2.387 7.160
2.387 7.160 2.387
2.387 7.160 7.160
4.773 0.000 0.000
4.773 4.773 4.773
7.160 2.387 2.387
7.160 2.387 7.160
7.160 7.160 2.387
7.160 7.160 7.160
```

12.
First-principles (GGA-PBE) data for crystalline Be2SiBr at its relaxed geometry, as listed in Alexandria.

## Properties
* energy relative to the lowest polymorph listed for this composition: 109 meV per atom
* SG: No. 47
* raw formation energy: 0.400 eV/atom
* size of the total moment: 0.0 μB/f.u.

Structure (POSCAR):
```
Be2SiBr
1.0
3.001 0.000 0.000
0.000 3.316 0.000
0.000 0.000 6.256
Be Si Br
2 1 1
Cartesian
0.000 0.000 1.158
0.000 0.000 5.098
1.501 1.658 0.000
1.501 0.000 3.128
```